{"formula": "PbW3", "functional": "PBE", "state": "relaxed", "lattice_angstrom": [[-4.806, -2.298, 1.121], [0.053, -4.973, 2.214], [1.687, 5.138, 0.626]], "species": ["W", "W", "W", "Pb"], "frac_coords": [[0.822, 0.238, 0.583], [0.583, 0.500, 0.083], [0.345, 0.762, 0.583], [0.083, 0.000, 0.083]], "magmom_total_mub_per_cell": 0.000, "dos_at_fermi_per_ev_cell": 2.738, "de_polymorph_kj_per_mol_atoms": 11.1, "delta_e_f_kj_per_mol_atoms": 77.50}